{"formula": "La8Ru3AuI4", "functional": "PBE", "state": "relaxed", "magmom_total_mub_per_cell": 0.0, "raw_formation_energy_ev_per_atom": -0.8570, "dos_ef_per_ev_fu": 7.6, "e_tot_ev_per_atom": -5.6523, "lattice": [[-1.7694, -2.7099, 7.9043], [3.1127, -8.7989, -2.3198], [5.5195, 6.4106, -1.1814]], "species": ["La", "La", "La", "La", "La", "La", "La", "La", "Ru", "Ru", "Ru", "I", "I", "I", "I", "Au"], "fractional_positions": [[0.2385, 0.6856, 0.4770], [0.7616, 0.3147, 0.0531], [0.2384, 0.6853, 0.9469], [0.7085, 0.6853, 0.9469], [0.7615, 0.3144, 0.5230], [0.2701, 0.3106, 0.5403], [0.7299, 0.6894, 0.4597], [0.2915, 0.3147, 0.0531], [0.5000, 0.5000, 0.5000], [0.0000, 0.5000, 0.5000], [0.5000, 0.5000, 0.0000], [0.5000, 0.0000, 0.0000], [0.0000, 0.0000, 0.0000], [0.0000, 0.0000, 0.5000], [0.5000, 0.0000, 0.5000], [0.0000, 0.5000, 0.0000]]}